The following is a PBE calculation of a relaxed structure of NaSr2La2, from Alexandria via LeMat-Bulk. Values from VASP.

Geometry as Quantum ESPRESSO input:
```
&SYSTEM
  ibrav = 0, nat = 10, ntyp = 3
/
ATOMIC_SPECIES
Sr 87.62 Sr.upf
Na 22.99 Na.upf
La 138.91 La.upf
ATOMIC_POSITIONS crystal
Sr 0.187 0.687 0.500
Sr 0.687 0.813 0.500
Sr 0.813 0.313 0.500
Sr 0.313 0.187 0.500
Na 0.000 0.000 0.000
Na 0.500 0.500 0.000
La 0.397 0.897 0.000
La 0.897 0.603 0.000
La 0.603 0.103 0.000
La 0.103 0.397 0.000
CELL_PARAMETERS angstrom
10.738 0.000 0.000
0.000 10.738 0.000
0.000 0.000 4.079
```

Properties
SG: No. 127
Fermi-level density of states, states/eV per atom: 1.49
ΔE to the lowest computed polymorph, meV/atom: 38
Energy of formation, eV/f.u.: 1.617
DFT total energy, eV per atom: -2.584